# Ca2RhPb (PBE, relaxed)
data_Ca2RhPb
_chemical_formula_sum 'Ca6 Rh3 Pb3'
_space_group_name_H-M_alt 'R 3 m'
_space_group_IT_number 160
_space_group_name_Hall 'R 3 -2"'
_cell_length_a 4.9065
_cell_length_b 4.9065
_cell_length_c 15.1642
_cell_angle_alpha 90.00
_cell_angle_beta 90.00
_cell_angle_gamma 120.00
loop_
_atom_site_label
_atom_site_fract_x
_atom_site_fract_y
_atom_site_fract_z
Ca1 0.0000 0.0000 0.0000
Ca2 0.0000 0.0000 0.2112
Rh1 0.0000 0.0000 0.4195
Pb1 0.0000 0.0000 0.7648
# * volume: 316.16 Å³/cell
# * total energy: -4.09 eV per atom
# * energy of formation: -0.32 eV/atom
# * total magnetization: 0.00 Bohr magnetons per cell

# La5Sm4Y (PBE, relaxed)
data_La5Sm4Y
_chemical_formula_sum 'La10 Sm8 Y2'
_space_group_name_H-M_alt 'P m m n'
_space_group_IT_number 59
_cell_length_a 6.8993
_cell_length_b 9.2483
_cell_length_c 11.6430
_cell_angle_alpha 90.00
_cell_angle_beta 90.00
_cell_angle_gamma 90.00
loop_
_space_group_symop_operation_xyz
'x,y,z'
'-x,-y,-z'
'-x+1/2,-y+1/2,z'
'x+1/2,y+1/2,-z'
'x+1/2,-y,-z'
'-x+1/2,y,z'
'-x,y+1/2,-z'
'x,-y+1/2,z'
loop_
_atom_site_label
_atom_site_fract_x
_atom_site_fract_y
_atom_site_fract_z
La1 0.0046 0.0682 0.2178
La2 0.2500 0.2500 0.7122
Sm1 0.0045 0.7500 0.0431
Sm2 0.2500 0.0486 0.4950
Y1 0.2500 0.7500 0.3185
# * volume: 742.90 Å³/cell
# * relative energy among the computed polymorphs: 0.237 eV per atom
# * total energy: -4.68 eV per atom
# * energy of formation: 0.32 eV/atom
# * total magnetization: 0.00 Bohr magnetons per cell

Q: Which value of total energy does entry 2 give?
A: -4.68 eV per atom

Q: The highest energy of formation belongs to which entry?
A: La5Sm4Y

Q: Number 2 is which compound?
A: La5Sm4Y

Q: Which value of volume does entry 1 give?
A: 316.16 Å³/cell